{"formula": "PmSm2Ir2", "functional": "GGA-PBE", "state": "optimized geometry", "cell": [[4.9349, 0.0000, 0.0000], [0.0000, 4.9242, -0.0666], [0.0000, 0.1456, 10.4995]], "species": ["Ir", "Ir", "Ir", "Ir", "Sm", "Sm", "Sm", "Sm", "Pm", "Pm"], "frac_coords": [[0.7500, 0.7498, 0.5101], [0.7500, 0.7502, 0.1589], [0.2500, 0.2498, 0.8411], [0.2500, 0.2502, 0.4899], [0.2500, 0.7497, 0.6646], [0.7500, 0.2500, 0.0007], [0.2500, 0.7500, 0.9993], [0.7500, 0.2503, 0.3354], [0.7500, 0.2496, 0.6667], [0.2500, 0.7504, 0.3333]], "volume_a3_per_atom": 25.5, "e_form_ev_per_atom": -0.622}